RuAuI2N: optimized geometry, PBE-GGA.

Mass density ... 7.06 g cm⁻³
ΔE_f (raw) ... 1.501 eV per atom

Unit cell a=5.942 b=5.942 c=3.768 alpha=90.00 beta=90.00 gamma=90.00
Each line ends with the local moment (μB).
Atoms (fractional coordinates):
I  0.000  0.500  0.000  0.06
I  0.500  0.000  0.000  0.06
Ru  0.500  0.500  0.500  2.67
Au  0.000  0.000  0.000  -0.04
N  0.000  0.000  0.500  -0.13

ReTcO2: optimized geometry, PBE-GGA.

Mass density ... 12.27 g cm⁻³
ΔE_f (raw) ... 0.497 eV per atom

Unit cell a=3.926 b=3.926 c=3.926 alpha=60.00 beta=60.00 gamma=60.00
Atoms (fractional coordinates):
Re  0.500  0.500  0.500
Tc  0.000  0.000  0.000
O  0.250  0.250  0.250
O  0.750  0.750  0.750

Q: Look up the ΔE_f (raw) of the second one.
A: 0.497 eV per atom

Q: Which value of ΔE_f (raw) does entry 2 give?
A: 0.497 eV per atom

Q: What is the formula in the first record?
A: RuAuI2N